Material: CaPuBr4
Method: DFT, GGA-PBE
State: relaxed

Lattice parameters (Å, degrees): 7.315 7.315 7.557 100.89 100.89 34.03
Fractional positions:
1 Ca 0.000 0.000 0.000
2 Pu 0.500 0.500 0.500
3 Br 0.118 0.118 0.367
4 Br 0.384 0.384 0.118
5 Br 0.616 0.616 0.882
6 Br 0.882 0.882 0.633

Properties
Size of the total moment ... 1.000 μB/atom
Space group ... No. 12
Energy above the lowest structure with this stoichiometry ... 0.0000 eV per atom
V ... 222 Å³ per cell
Formation energy (no corrections) ... -1.712 eV per atom


Material: CaPu2Br6
Method: DFT, GGA-PBE
State: relaxed

Lattice parameters (Å, degrees): 9.560 9.560 8.568 102.93 102.93 25.50
Fractional positions:
1 Ca 0.000 0.000 0.000
2 Pu 0.324 0.324 0.663
3 Pu 0.676 0.676 0.337
4 Br 0.162 0.162 0.083
5 Br 0.162 0.162 0.573
6 Br 0.492 0.492 0.762
7 Br 0.508 0.508 0.238
8 Br 0.838 0.838 0.427
9 Br 0.838 0.838 0.917

Properties
Size of the total moment ... 1.333 μB/atom
Space group ... No. 12
Energy above the lowest structure with this stoichiometry ... 0.0000 eV per atom
V ... 328 Å³ per cell
Formation energy (no corrections) ... -1.620 eV per atom


Material: CaPuBr2
Method: DFT, GGA-PBE
State: relaxed

Lattice parameters (Å, degrees): 10.368 10.368 10.368 21.69 21.69 21.69
Fractional positions:
1 Ca 0.000 0.000 0.000
2 Pu 0.500 0.500 0.500
3 Br 0.100 0.100 0.100
4 Br 0.900 0.900 0.900

Properties
Size of the total moment ... 1.626 μB/atom
Space group ... No. 166
V ... 133 Å³ per cell
Formation energy (no corrections) ... -1.022 eV per atom


Material: Ca2PuBr8
Method: DFT, GGA-PBE
State: relaxed

Lattice parameters (Å, degrees): 8.196 8.196 7.706 91.01 91.01 50.51
Fractional positions:
1 Ca 0.136 0.136 0.038
2 Ca 0.864 0.864 0.962
3 Pu 0.000 0.000 0.500
4 Br 0.179 0.179 0.409
5 Br 0.218 0.719 0.225
6 Br 0.281 0.782 0.775
7 Br 0.306 0.306 0.908
8 Br 0.694 0.694 0.092
9 Br 0.719 0.218 0.225
10 Br 0.782 0.281 0.775
11 Br 0.821 0.821 0.591

Properties
Size of the total moment ... 0.364 μB/atom
Space group ... No. 12
V ... 399 Å³ per cell
Formation energy (no corrections) ... -1.583 eV per atom


Material: RbCa2PuBr8
Method: DFT, GGA-PBE
State: relaxed

Lattice parameters (Å, degrees): 6.912 9.147 7.108 90.00 90.47 90.00
Fractional positions:
1 Rb 0.000 0.000 0.000
2 Ca 0.500 0.247 0.500
3 Ca 0.500 0.753 0.500
4 Pu 0.000 0.500 0.000
5 Br 0.250 0.286 0.168
6 Br 0.250 0.714 0.168
7 Br 0.265 0.500 0.671
8 Br 0.274 0.000 0.623
9 Br 0.726 0.000 0.377
10 Br 0.735 0.500 0.329
11 Br 0.750 0.286 0.832
12 Br 0.750 0.714 0.832

Properties
Size of the total moment ... 0.417 μB/atom
Space group ... No. 10
V ... 449 Å³ per cell
Formation energy (no corrections) ... -1.776 eV per atom


Material: Rb2CaPuBr6
Method: DFT, GGA-PBE
State: relaxed

Lattice parameters (Å, degrees): 7.944 8.279 13.913 90.00 124.72 90.00
Fractional positions:
1 Rb 0.230 0.066 0.250
2 Rb 0.230 0.434 0.750
3 Rb 0.770 0.566 0.250
4 Rb 0.770 0.934 0.750
5 Ca 0.000 0.000 0.500
6 Ca 0.000 0.500 0.000
7 Pu 0.500 0.000 0.000
8 Pu 0.500 0.500 0.500
9 Br 0.148 0.207 0.953
10 Br 0.148 0.293 0.453
11 Br 0.251 0.699 0.954
12 Br 0.251 0.801 0.454
13 Br 0.337 0.024 0.746
14 Br 0.337 0.476 0.246
15 Br 0.663 0.524 0.754
16 Br 0.663 0.976 0.254
17 Br 0.749 0.199 0.546
18 Br 0.749 0.301 0.046
19 Br 0.852 0.707 0.547
20 Br 0.852 0.793 0.047

Properties
Size of the total moment ... 0.600 μB/atom
Space group ... No. 14
V ... 752 Å³ per cell
Formation energy (no corrections) ... -1.733 eV per atom


Material: Ca2PuTlBr8
Method: DFT, GGA-PBE
State: relaxed

Lattice parameters (Å, degrees): 6.858 9.048 7.100 90.00 90.23 90.00
Fractional positions:
1 Ca 0.000 0.246 0.000
2 Ca 0.000 0.754 0.000
3 Pu 0.500 0.500 0.500
4 Tl 0.500 0.000 0.500
5 Br 0.227 0.000 0.868
6 Br 0.235 0.500 0.831
7 Br 0.252 0.281 0.334
8 Br 0.252 0.719 0.334
9 Br 0.748 0.281 0.666
10 Br 0.748 0.719 0.666
11 Br 0.765 0.500 0.169
12 Br 0.773 0.000 0.132

Properties
Size of the total moment ... 0.417 μB/atom
Space group ... No. 10
V ... 441 Å³ per cell
Formation energy (no corrections) ... -1.631 eV per atom


Material: CaPuTlBr6
Method: DFT, GGA-PBE
State: relaxed

Lattice parameters (Å, degrees): 7.568 7.568 14.283 90.00 90.00 120.00
Fractional positions:
1 Ca 0.333 0.667 0.250
2 Ca 0.667 0.333 0.750
3 Pu 0.333 0.667 0.750
4 Pu 0.667 0.333 0.250
5 Tl 0.000 0.000 0.000
6 Tl 0.000 0.000 0.500
7 Br 0.003 0.368 0.636
8 Br 0.003 0.634 0.864
9 Br 0.366 0.368 0.864
10 Br 0.366 0.997 0.636
11 Br 0.368 0.003 0.136
12 Br 0.368 0.366 0.364
13 Br 0.632 0.634 0.636
14 Br 0.632 0.997 0.864
15 Br 0.634 0.003 0.364
16 Br 0.634 0.632 0.136
17 Br 0.997 0.366 0.136
18 Br 0.997 0.632 0.364

Properties
Size of the total moment ... 0.556 μB/atom
Space group ... No. 163
V ... 708 Å³ per cell
Formation energy (no corrections) ... -1.554 eV per atom


Material: RbCaBr3
Method: DFT, GGA-PBE
State: relaxed

Lattice parameters (Å, degrees): 9.662 9.662 9.662 47.59 47.59 47.59
Fractional positions:
1 Rb 0.000 0.000 0.000
2 Rb 0.499 0.499 0.499
3 Ca 0.172 0.172 0.172
4 Ca 0.829 0.829 0.829
5 Br 0.055 0.826 0.425
6 Br 0.178 0.575 0.942
7 Br 0.425 0.055 0.826
8 Br 0.575 0.942 0.178
9 Br 0.826 0.425 0.055
10 Br 0.942 0.178 0.575

Properties
Size of the total moment ... 0.000 μB/atom
Space group ... No. 146
V ... 450 Å³ per cell
Formation energy (no corrections) ... -1.931 eV per atom


Material: Rb3CaBr6
Method: DFT, GGA-PBE
State: relaxed

Lattice parameters (Å, degrees): 8.633 8.633 8.633 60.00 60.00 60.00
Fractional positions:
1 Rb 0.000 0.000 0.000
2 Rb 0.250 0.250 0.250
3 Rb 0.750 0.750 0.750
4 Ca 0.500 0.500 0.500
5 Br 0.267 0.267 0.733
6 Br 0.267 0.733 0.267
7 Br 0.267 0.733 0.733
8 Br 0.733 0.267 0.267
9 Br 0.733 0.267 0.733
10 Br 0.733 0.733 0.267

Properties
Size of the total moment ... 0.100 μB/atom
Space group ... No. 225
Energy above the lowest structure with this stoichiometry ... 0.0935 eV per atom
V ... 455 Å³ per cell
Formation energy (no corrections) ... -1.514 eV per atom


Material: RbCa2Br
Method: DFT, GGA-PBE
State: relaxed

Lattice parameters (Å, degrees): 10.686 10.686 10.686 139.55 139.55 58.54
Fractional positions:
1 Rb 0.000 0.000 0.000
2 Rb 0.750 0.250 0.500
3 Ca 0.373 0.625 0.248
4 Ca 0.375 0.623 0.748
5 Ca 0.377 0.125 0.752
6 Ca 0.875 0.627 0.252
7 Br 0.250 0.750 0.500
8 Br 0.500 0.500 0.000

Properties
Size of the total moment ... 0.000 μB/atom
Space group ... No. 122
Energy above the lowest structure with this stoichiometry ... 0.0000 eV per atom
V ... 509 Å³ per cell
Formation energy (no corrections) ... -0.320 eV per atom